No. 1
The following is a DFT calculation (PBE-GGA) of a relaxed Sr4SbSe2Br crystal.

Properties
- total magnetic moment (μB per formula unit) = 0.00
- energy (Ry/atom) = -0.307
- space-group type = I4/mmm

a = 6.4462 Å, b = 6.4462 Å, c = 7.9407 Å
α = 113.95°, β = 113.95°, γ = 90.00°
Last column: nearest neighbours and their distance in Å.
Element x y z (fractional)
Sb: 0.9372 0.9372 0.0000  6 Sr 3.18-3.22
Sr: 0.4372 0.9372 0.0000  2 Br 3.22, 2 Sb 3.22, 2 Se 3.25
Sr: 0.9372 0.4372 0.0000  2 Br 3.22, 2 Sb 3.22, 2 Se 3.25
Sr: 0.6929 0.6929 0.5116  1 Sb 3.18, 4 Se 3.22, 1 Br 3.33
Sr: 0.1813 0.1813 0.4884  1 Sb 3.18, 4 Se 3.22, 1 Br 3.33
Se: 0.1871 0.6871 0.5000  6 Sr 3.22-3.25
Se: 0.6871 0.1871 0.5000  6 Sr 3.22-3.25
Br: 0.4372 0.4372 0.0000  6 Sr 3.22-3.33

***

No. 2
The following is a DFT calculation (PBE-GGA) of a relaxed AcPrCuS4 crystal.

Properties
- total magnetic moment (μB per formula unit) = 0.00
- energy (Ry/atom) = -0.425
- space-group type = P2_1/m

a = 6.8828 Å, b = 5.8197 Å, c = 8.3487 Å
α = 90.00°, β = 107.36°, γ = 90.00°
Last column: nearest neighbours and their distance in Å.
Element x y z (fractional)
S: 0.9884 0.0117 0.2532  1 Cu 2.27
S: 0.9884 0.4883 0.2532  1 Cu 2.27
S: 0.4283 0.7500 0.1219  1 Cu 2.32
S: 0.0116 0.5117 0.7468  1 Cu 2.27
S: 0.4224 0.7500 0.5946  1 Cu 2.29
S: 0.5717 0.2500 0.8781  1 Cu 2.32
S: 0.0116 0.9883 0.7468  1 Cu 2.27
S: 0.5776 0.2500 0.4054  1 Cu 2.29
Pr: 0.2598 0.2500 0.5621  8 S 2.86-3.10
Pr: 0.7402 0.7500 0.4379  8 S 2.86-3.10
Cu: 0.2453 0.7500 0.3144  4 S 2.27-2.32
Cu: 0.7547 0.2500 0.6856  4 S 2.27-2.32
Ac: 0.7296 0.7500 0.9313  8 S 2.97-3.14
Ac: 0.2704 0.2500 0.0687  8 S 2.97-3.14

***

No. 3
The following is a DFT calculation (PBE-GGA) of a relaxed BaTl6In4 crystal.

Properties
- total magnetic moment (μB per formula unit) = 0.00
- ΔH_f (0 K) (eV/atom) = -0.003
- space-group type = I-42m

a = 8.1395 Å, b = 8.1395 Å, c = 8.1395 Å
α = 89.49°, β = 120.30°, γ = 120.30°
Last column: nearest neighbours and their distance in Å.
Element x y z (fractional)
Tl: 0.6479 0.1181 0.1181  4 In 3.03-3.27
Tl: 0.0000 0.8819 0.5297  4 In 3.03-3.27
Tl: 0.5000 0.0000 0.5000  4 In 3.12
Tl: 0.3521 0.4703 0.4703  4 In 3.03-3.27
Tl: 0.0000 0.5297 0.8819  4 In 3.03-3.27
Tl: 0.5000 0.5000 0.0000  4 In 3.12
In: 0.3529 0.7532 0.7532  6 Tl 3.03-3.27, 2 In 3.37
In: 0.0000 0.2468 0.5997  6 Tl 3.03-3.27, 2 In 3.37
In: 0.6471 0.4003 0.4003  6 Tl 3.03-3.27, 2 In 3.37
In: 0.0000 0.5997 0.2468  6 Tl 3.03-3.27, 2 In 3.37
Ba: 0.0000 0.0000 0.0000  4 In 3.81, 8 Tl 3.95-4.05

***

No. 4
The following is a DFT calculation (PBE-GGA) of a relaxed Sr2MgCd12Ag3 crystal.

Properties
- total magnetic moment (μB per formula unit) = 0.00
- ΔH_f (0 K) (eV/atom) = 0.132
- space-group type = R-3m

a = 8.8261 Å, b = 8.8261 Å, c = 8.8261 Å
α = 65.82°, β = 65.82°, γ = 65.82°
Last column: nearest neighbours and their distance in Å.
Element x y z (fractional)
Sr: 0.4022 0.4022 0.4022  6 Cd 3.40-3.53
Sr: 0.5978 0.5978 0.5978  6 Cd 3.40-3.53
Ag: 0.5000 0.0000 0.0000  6 Cd 2.79-2.87
Ag: 0.0000 0.5000 0.0000  6 Cd 2.79-2.87
Ag: 0.0000 0.0000 0.5000  6 Cd 2.79-2.87
Cd: 0.1394 0.1394 0.6382  1 Mg 2.83, 1 Ag 2.87, 4 Cd 2.98-3.00
Cd: 0.9751 0.3525 0.3525  2 Ag 2.79, 2 Cd 2.98
Cd: 0.0249 0.6475 0.6475  2 Ag 2.79, 2 Cd 2.98
Cd: 0.6475 0.6475 0.0249  2 Ag 2.79, 2 Cd 2.98
Cd: 0.3525 0.9751 0.3525  2 Ag 2.79, 2 Cd 2.98
Cd: 0.6475 0.0249 0.6475  2 Ag 2.79, 2 Cd 2.98
Cd: 0.6382 0.1394 0.1394  1 Mg 2.83, 1 Ag 2.87, 4 Cd 2.98-3.00
Cd: 0.8606 0.8606 0.3618  1 Mg 2.83, 1 Ag 2.87, 4 Cd 2.98-3.00
Cd: 0.8606 0.3618 0.8606  1 Mg 2.83, 1 Ag 2.87, 4 Cd 2.98-3.00
Cd: 0.1394 0.6382 0.1394  1 Mg 2.83, 1 Ag 2.87, 4 Cd 2.98-3.00
Cd: 0.3618 0.8606 0.8606  1 Mg 2.83, 1 Ag 2.87, 4 Cd 2.98-3.00
Cd: 0.3525 0.3525 0.9751  2 Ag 2.79, 2 Cd 2.98
Mg: 0.0000 0.0000 0.0000  6 Cd 2.83

***

No. 5
The following is a DFT calculation (PBE-GGA) of a relaxed Zr2CuCl crystal.

Properties
- total magnetic moment (μB per formula unit) = 0.00
- offset from the most stable computed form (eV/atom) = 0.183
- space-group type = C2/m

a = 4.9642 Å, b = 6.7779 Å, c = 3.0271 Å
α = 76.62°, β = 81.55°, γ = 127.74°
Last column: nearest neighbours and their distance in Å.
Element x y z (fractional)
Zr: 0.0000 0.0000 0.0000  2 Cu 2.71, 2 Cl 2.71, 2 Zr 3.03
Zr: 0.0000 0.5000 0.5000  2 Cl 2.71, 2 Cu 2.71, 2 Zr 3.03
Cu: 0.5000 0.0000 0.5000  4 Zr 2.71, 2 Cu 3.03
Cl: 0.5000 0.5000 0.0000  4 Zr 2.71, 2 Cl 3.03

***

No. 6
The following is a DFT calculation (PBE-GGA) of a relaxed BiN2ClF crystal.

Properties
- total magnetic moment (μB per formula unit) = 4.17
- offset from the most stable computed form (eV/atom) = 0.000
- space-group type = P4/mmm

a = 4.6471 Å, b = 4.6471 Å, c = 4.4226 Å
α = 90.00°, β = 90.00°, γ = 90.00°
Last column: nearest neighbours and their distance in Å.
Element x y z (fractional)
Bi: 0.0000 0.0000 0.0000  2 F 2.21, 4 N 2.32
F: 0.0000 0.0000 0.5000  2 Bi 2.21
N: 0.0000 0.5000 0.0000  2 Bi 2.32
N: 0.5000 0.0000 0.0000  2 Bi 2.32
Cl: 0.5000 0.5000 0.5000  8 N 3.21, 4 F 3.29

***

No. 7
The following is a DFT calculation (PBE-GGA) of a relaxed BaNa3SrCa crystal.

Properties
- total magnetic moment (μB per formula unit) = 0.00
- ΔH_f (0 K) (eV/atom) = 0.027
- space-group type = P2_1/m

a = 4.3261 Å, b = 10.2786 Å, c = 13.7453 Å
α = 116.29°, β = 90.00°, γ = 90.00°
Last column: nearest neighbours and their distance in Å.
Element x y z (fractional)
Na: 0.2500 0.5841 0.4380  4 Na 3.63-3.67, 2 Ca 3.76
Na: 0.2500 0.6070 0.7985  4 Na 3.66-3.67, 2 Sr 3.91
Na: 0.2500 0.1328 0.9895  4 Na 3.59-3.66, 2 Sr 3.90
Na: 0.7500 0.8672 0.0105  4 Na 3.59-3.66, 2 Sr 3.90
Na: 0.7500 0.3930 0.2015  4 Na 3.66-3.67, 2 Sr 3.91
Na: 0.7500 0.4159 0.5620  4 Na 3.63-3.67, 2 Ca 3.76
Ba: 0.7500 0.8797 0.7062  8 Na 4.16-4.28, 3 Ca 4.16-4.19, 1 Sr 4.31, 2 Ba 4.33
Ba: 0.2500 0.1203 0.2938  8 Na 4.16-4.28, 3 Ca 4.16-4.19, 1 Sr 4.31, 2 Ba 4.33
Sr: 0.2500 0.6533 0.1276  5 Na 3.90-4.33, 2 Ca 3.96, 4 Sr 4.14-4.33, 1 Ba 4.31
Sr: 0.7500 0.3467 0.8724  5 Na 3.90-4.33, 2 Ca 3.96, 4 Sr 4.14-4.33, 1 Ba 4.31
Ca: 0.7500 0.8528 0.3950  2 Na 3.76, 2 Ca 3.80, 2 Sr 3.96, 3 Ba 4.16-4.19
Ca: 0.2500 0.1472 0.6050  2 Na 3.76, 2 Ca 3.80, 2 Sr 3.96, 3 Ba 4.16-4.19

***

No. 8
The following is a DFT calculation (PBE-GGA) of a relaxed NiAsPt2N crystal.

Properties
- total magnetic moment (μB per formula unit) = 0.38
- energy (Ry/atom) = -0.367
- space-group type = P4/mmm

a = 4.7197 Å, b = 3.7087 Å, c = 4.7197 Å
α = 90.00°, β = 90.00°, γ = 90.00°
Last column: nearest neighbours and their distance in Å.
Element x y z (fractional)
Pt: 0.0000 0.0000 0.5000  2 As 2.36
Pt: 0.5000 0.0000 0.0000  2 As 2.36
As: 0.0000 0.0000 0.0000  2 N 1.85
Ni: 0.5000 0.5000 0.5000  8 Pt 3.00, 4 N 3.34
N: 0.0000 0.5000 0.0000  2 As 1.85

***

No. 9
The following is a DFT calculation (PBE-GGA) of a relaxed La3BiTeBr crystal.

Properties
- total magnetic moment (μB per formula unit) = 0.89
- energy (Ry/atom) = -0.373
- space-group type = P2_1/m

a = 4.6125 Å, b = 9.0941 Å, c = 10.2360 Å
α = 101.14°, β = 90.00°, γ = 90.00°
Last column: nearest neighbours and their distance in Å.
Element x y z (fractional)
Te: 0.2500 0.1702 0.2213  7 La 3.30-3.68
Te: 0.7500 0.8298 0.7787  7 La 3.30-3.68
La: 0.2500 0.0978 0.8819  1 Br 3.00, 2 Bi 3.30
La: 0.7500 0.9022 0.1181  1 Br 3.00, 2 Bi 3.30
La: 0.7500 0.4045 0.1558  3 Bi 3.22-3.25, 2 Te 3.30
La: 0.2500 0.5955 0.8442  3 Bi 3.22-3.25, 2 Te 3.30
La: 0.2500 0.7264 0.4962  3 Br 3.03-3.33, 1 Bi 3.33
La: 0.7500 0.2736 0.5038  3 Br 3.03-3.33, 1 Bi 3.33
Bi: 0.7500 0.3426 0.8353  6 La 3.22-3.33
Bi: 0.2500 0.6574 0.1647  6 La 3.22-3.33
Br: 0.2500 0.0980 0.5886  4 La 3.00-3.33, 2 Br 3.25
Br: 0.7500 0.9020 0.4114  4 La 3.00-3.33, 2 Br 3.25

***

No. 10
The following is a DFT calculation (PBE-GGA) of a relaxed AcPrGaSi crystal.

Properties
- total magnetic moment (μB per formula unit) = 0.00
- offset from the most stable computed form (eV/atom) = 0.215
- space-group type = F-43m

a = 5.3663 Å, b = 5.3663 Å, c = 5.3663 Å
α = 60.00°, β = 60.00°, γ = 60.00°
Last column: nearest neighbours and their distance in Å.
Element x y z (fractional)
Ac: 0.2500 0.2500 0.2500  4 Si 3.29, 4 Ga 3.29
Pr: 0.7500 0.7500 0.7500  4 Si 3.29, 4 Ga 3.29
Ga: 0.0000 0.0000 0.0000  4 Ac 3.29, 4 Pr 3.29
Si: 0.5000 0.5000 0.5000  4 Ac 3.29, 4 Pr 3.29

***

No. 11
The following is a DFT calculation (PBE-GGA) of a relaxed Nd4Te3Ru crystal.

Properties
- total magnetic moment (μB per formula unit) = 0.00
- offset from the most stable computed form (eV/atom) = 0.000
- space-group type = P2/c

a = 7.5386 Å, b = 7.9095 Å, c = 8.9585 Å
α = 90.00°, β = 90.00°, γ = 109.34°
Last column: nearest neighbours and their distance in Å.
Element x y z (fractional)
Te: 0.7500 0.5000 0.6160  6 Nd 3.16-3.53
Te: 0.7500 0.5000 0.1220  6 Nd 3.15-3.39
Te: 0.2500 0.0000 0.6160  6 Nd 3.19-3.22
Te: 0.2500 0.5000 0.8780  6 Nd 3.15-3.39
Te: 0.7500 0.0000 0.3840  6 Nd 3.19-3.22
Te: 0.2500 0.5000 0.3840  6 Nd 3.16-3.53
Nd: 0.0036 0.2168 0.1118  2 Ru 2.92-2.94, 2 Te 3.18-3.22
Nd: 0.9667 0.2243 0.6632  1 Ru 2.78
Nd: 0.5036 0.2168 0.8882  2 Ru 2.92-2.94, 2 Te 3.18-3.22
Nd: 0.0333 0.7757 0.3368  1 Ru 2.78
Nd: 0.5333 0.7757 0.6632  1 Ru 2.78
Nd: 0.4667 0.2243 0.3368  1 Ru 2.78
Nd: 0.4964 0.7832 0.1118  2 Ru 2.92-2.94, 2 Te 3.18-3.22
Nd: 0.9964 0.7832 0.8882  2 Ru 2.92-2.94, 2 Te 3.18-3.22
Ru: 0.7500 0.0000 0.8821  6 Nd 2.78-2.94
Ru: 0.2500 0.0000 0.1179  6 Nd 2.78-2.94

***

No. 12
The following is a DFT calculation (PBE-GGA) of a relaxed PmTh2Tl9 crystal.

Properties
- total magnetic moment (μB per formula unit) = 0.00
- ΔH_f (0 K) (eV/atom) = -0.204
- space-group type = P4/mmm

a = 4.8252 Å, b = 4.8252 Å, c = 14.4301 Å
α = 90.00°, β = 90.00°, γ = 90.00°
Last column: nearest neighbours and their distance in Å.
Element x y z (fractional)
Tl: 0.0000 0.5000 0.8344  8 Tl 3.40-3.42, 2 Pm 3.40, 2 Th 3.42
Tl: 0.0000 0.5000 0.1656  8 Tl 3.40-3.42, 2 Pm 3.40, 2 Th 3.42
Tl: 0.5000 0.5000 0.3335  8 Tl 3.40-3.42, 4 Th 3.41
Tl: 0.0000 0.5000 0.5000  4 Th 3.40, 8 Tl 3.40-3.41
Tl: 0.5000 0.0000 0.8344  2 Pm 3.40, 8 Tl 3.40-3.42, 2 Th 3.42
Tl: 0.5000 0.0000 0.1656  8 Tl 3.40-3.42, 2 Pm 3.40, 2 Th 3.42
Tl: 0.5000 0.5000 0.0000  8 Tl 3.40, 4 Pm 3.41
Tl: 0.5000 0.5000 0.6665  8 Tl 3.40-3.42, 4 Th 3.41
Tl: 0.5000 0.0000 0.5000  4 Th 3.40, 8 Tl 3.40-3.41
Th: 0.0000 0.0000 0.3336  12 Tl 3.40-3.42
Th: 0.0000 0.0000 0.6664  12 Tl 3.40-3.42
Pm: 0.0000 0.0000 0.0000  12 Tl 3.40-3.41

***

Please write out number 8 again, unchanged.
The following is a DFT calculation (PBE-GGA) of a relaxed NiAsPt2N crystal.

Properties
- total magnetic moment (μB per formula unit) = 0.38
- energy (Ry/atom) = -0.367
- space-group type = P4/mmm

a = 4.7197 Å, b = 3.7087 Å, c = 4.7197 Å
α = 90.00°, β = 90.00°, γ = 90.00°
Last column: nearest neighbours and their distance in Å.
Element x y z (fractional)
Pt: 0.0000 0.0000 0.5000  2 As 2.36
Pt: 0.5000 0.0000 0.0000  2 As 2.36
As: 0.0000 0.0000 0.0000  2 N 1.85
Ni: 0.5000 0.5000 0.5000  8 Pt 3.00, 4 N 3.34
N: 0.0000 0.5000 0.0000  2 As 1.85